1.
Below is a relaxed structure of KTeSe, with properties calculated at the PBE level.

Summary:
DOS(E_F): 0.398 states/eV/f.u.
energy above the most stable polymorph in this dataset: 0 meV per atom
formation energy (no corrections): -1.85 eV per formula unit
E: -0.235 Ry/atom

a b c (Å): 4.4167 6.0904 8.7555
angles (deg): 72.52 89.97 68.77
With the nearest neighbours (Å) after each atom.
Space group P-1 (No. 2)
Unique sites:
K1 0.2397 0.0225 0.2708 x2  4 Se 3.37-3.61, 4 Te 3.70-3.73
Te1 0.0000 0.5000 0.5000 x1  2 Se 2.83
Te2 0.5000 0.5000 0.0000 x1  4 Se 2.91
Se1 0.0803 0.3393 0.8412 x2  3 Te 2.83-2.91

2.
Below is a relaxed structure of KTlTeSe3, with properties calculated at the PBE level.

Summary:
formation energy (no corrections): -2.41 eV per formula unit
E: -0.238 Ry/atom

a b c (Å): 7.5378 15.5853 7.3626
angles (deg): 90.00 106.65 90.00
With the nearest neighbours (Å) after each atom.
Space group C2/c (No. 15)
Unique sites:
K1 0.0000 0.2428 0.2500 x4  8 Se 3.58-3.81
Tl1 0.0000 0.4238 0.7500 x4  5 Se 3.11-3.18
Te1 0.0000 0.0562 0.7500 x4  3 Se 2.58-2.81
Se1 0.0000 0.2219 0.7500 x4  1 Te 2.58
Se2 0.2350 0.0629 0.5159 x8  2 Te 2.81-2.90, 1 Tl 3.11

3.
Below is a relaxed structure of K2Tl3TeSe6, with properties calculated at the PBE level.

Summary:
DOS(E_F): 4.885 states/eV/f.u.
formation energy (no corrections): -5.02 eV per formula unit
E: -0.235 Ry/atom

a b c (Å): 7.9485 13.7275 7.4291
angles (deg): 90.00 115.28 90.00
With the nearest neighbours (Å) after each atom.
Space group C2/m (No. 12)
Unique sites:
K1 0.0000 0.1704 0.0000 x4  6 Se 3.24-3.34
Tl1 0.0000 0.0000 0.5000 x2  4 Se 2.79
Tl2 0.0000 0.3359 0.5000 x4  6 Se 2.99-3.32
Te1 0.0000 0.5000 0.0000 x2  6 Se 2.83-2.89
Se1 0.2045 0.5000 0.7680 x4  1 Te 2.83, 2 Tl 2.99
Se2 0.2441 0.1425 0.7375 x8  1 Tl 2.79, 1 Te 2.89

4.
Below is a relaxed structure of K2Tl2Te2Se, with properties calculated at the PBE level.

Summary:
DOS(E_F): 0.711 states/eV/f.u.
formation energy (no corrections): -4.41 eV per formula unit
E: -0.222 Ry/atom

a b c (Å): 4.6539 8.1336 8.6477
angles (deg): 63.90 74.46 73.39
With the nearest neighbours (Å) after each atom.
Space group P-1 (No. 2)
Unique sites:
K1 0.0350 0.1995 0.2314 x2  2 Se 3.33, 2 Te 3.70
Tl1 0.3046 0.6076 0.2836 x2  1 Se 2.80, 2 Te 3.08
Te1 0.3443 0.2017 0.6083 x2  3 Tl 3.08-3.25
Se1 0.5000 0.5000 0.0000 x1  2 Tl 2.80

5.
Below is a relaxed structure of K2TlTeSe4, with properties calculated at the PBE level.

Summary:
DOS(E_F): 3.918 states/eV/f.u.
formation energy (no corrections): -4.04 eV per formula unit
E: -0.236 Ry/atom

a b c (Å): 8.7079 8.9853 12.6523
angles (deg): 90.00 90.00 90.00
With the nearest neighbours (Å) after each atom.
Space group Imma (No. 74)
Unique sites:
K1 0.0000 0.0000 0.0000 x4  6 Se 3.20-3.25
K2 0.2500 0.2500 0.2500 x4  6 Se 3.38-3.49
Tl1 0.0000 0.0000 0.5000 x4  6 Se 3.04-3.16
Te1 0.2500 0.2500 0.7500 x4  6 Se 2.85-2.90
Se1 0.0000 0.0376 0.7486 x8  2 Te 2.90, 1 Tl 3.16, 1 K 3.20
Se2 0.2331 0.2500 0.5252 x8  1 Te 2.85, 2 Tl 3.04

6.
Below is a relaxed structure of K2TlTeSe, with properties calculated at the PBE level.

Summary:
DOS(E_F): 0.500 states/eV/f.u.
energy above the most stable polymorph in this dataset: 0 meV per atom
formation energy (no corrections): -3.93 eV per formula unit
E: -0.222 Ry/atom

a b c (Å): 8.2001 5.5644 8.3387
angles (deg): 90.00 91.86 90.00
With the nearest neighbours (Å) after each atom.
Space group P2_1/m (No. 11)
Unique sites:
K1 0.0068 0.2500 0.2053 x2  3 Se 3.30-3.49
K2 0.4768 0.2500 0.1638 x2  3 Se 3.30-3.40
Tl1 0.3123 0.7500 0.4352 x2  1 Se 2.73, 2 Te 3.02
Te1 0.2795 0.2500 0.5708 x2  3 Tl 3.02-3.35
Se1 0.2435 0.7500 0.1123 x2  1 Tl 2.73

Among the records above, which one has the lowest E? KTlTeSe3